The following is a DFT calculation (GGA-PBEsol) of CuIrPt3 after structural relaxation.

Results
As for the space group: Pm-3m (221). For the formation energy, the calculation gives 1.509 eV per atom. The calculation puts the total magnetization at 0.0 μB per cell.

abc: 4.404 4.404 4.404
angles: 90.00 90.00 90.00
Positions (direct):
Ir1 0.500 0.500 0.500
Cu1 0.000 0.000 0.000
Pt1 0.000 0.500 0.000
Pt2 0.000 0.000 0.500
Pt3 0.500 0.000 0.000